# 1
Compound: V2H2Pb
Source: the Alexandria database
Functional: PBE
Structure: relaxed

Lattice parameters (Å, degrees): 3.4120 3.4120 5.4095 71.62 71.62 90.00
Element x y z (fractional)
Pb  0.0000  0.0000  0.0000
H  0.7500  0.2500  0.5000
H  0.2500  0.7500  0.5000
V  0.3219  0.3219  0.3563
V  0.6781  0.6781  0.6437

Results
electronic total energy	-5.626	eV per atom
theoretical density	9.17	g cm⁻³
crystal system	tetragonal

# 2
Compound: VHPb
Source: the Alexandria database
Functional: PBE
Structure: relaxed

Lattice parameters (Å, degrees): 3.3759 5.3478 5.5464 72.86 72.25 71.65
Element x y z (fractional)
Pb  0.9306  0.8142  0.3261
Pb  0.0694  0.1858  0.6739
H  0.2970  0.5955  0.8118
H  0.7030  0.4045  0.1882
V  0.7042  0.6803  0.9128
V  0.2958  0.3197  0.0872

Results
electronic total energy	-5.286	eV per atom
theoretical density	9.75	g cm⁻³
crystal system	triclinic

# 3
Compound: VHPb3
Source: the Alexandria database
Functional: PBE
Structure: relaxed

Lattice parameters (Å, degrees): 4.8272 4.8272 4.8272 90.00 90.00 90.00
Element x y z (fractional)
Pb  0.0000  0.5000  0.0000
Pb  0.0000  0.0000  0.5000
Pb  0.5000  0.0000  0.0000
H  0.0000  0.0000  0.0000
V  0.5000  0.5000  0.5000

Results
electronic total energy	-4.160	eV per atom
theoretical density	9.94	g cm⁻³
crystal system	cubic

# 4
Compound: VH3Pb
Source: the Alexandria database
Functional: PBE
Structure: relaxed

Lattice parameters (Å, degrees): 3.7811 3.7811 3.7811 90.00 90.00 90.00
Element x y z (fractional)
Pb  0.5000  0.5000  0.5000
H  0.0000  0.5000  0.0000
H  0.0000  0.0000  0.5000
H  0.5000  0.0000  0.0000
V  0.0000  0.0000  0.0000

Results
ΔE to the lowest computed polymorph	0.000	eV per atom
theoretical density	8.02	g cm⁻³
crystal system	cubic

# 5
Compound: VH2Pb
Source: the Alexandria database
Functional: PBE
Structure: relaxed

Lattice parameters (Å, degrees): 4.1336 4.1336 4.1336 60.00 60.00 60.00
Element x y z (fractional)
Pb  0.5000  0.5000  0.5000
H  0.2500  0.2500  0.2500
H  0.7500  0.7500  0.7500
V  0.0000  0.0000  0.0000

Results
ΔE to the lowest computed polymorph	0.626	eV per atom
theoretical density	8.65	g cm⁻³
crystal system	cubic

# 6
Compound: Y2VHPb
Source: the Alexandria database
Functional: PBE
Structure: relaxed

Lattice parameters (Å, degrees): 4.9471 4.9471 4.1717 90.00 90.00 90.00
Element x y z (fractional)
Pb  0.5000  0.5000  0.5000
Y  0.0000  0.5000  0.0000
Y  0.5000  0.0000  0.0000
H  0.0000  0.0000  0.0000
V  0.0000  0.0000  0.5000

Results
electronic total energy	-5.976	eV per atom
theoretical density	7.11	g cm⁻³
crystal system	tetragonal

Repeat the sixth record exactly.
Compound: Y2VHPb
Source: the Alexandria database
Functional: PBE
Structure: relaxed

Lattice parameters (Å, degrees): 4.9471 4.9471 4.1717 90.00 90.00 90.00
Element x y z (fractional)
Pb  0.5000  0.5000  0.5000
Y  0.0000  0.5000  0.0000
Y  0.5000  0.0000  0.0000
H  0.0000  0.0000  0.0000
V  0.0000  0.0000  0.5000

Results
electronic total energy	-5.976	eV per atom
theoretical density	7.11	g cm⁻³
crystal system	tetragonal

- theoretical density of number 1 (V2H2Pb)?
  9.17 g cm⁻³

What did the fifth record say?
Compound: VH2Pb
Source: the Alexandria database
Functional: PBE
Structure: relaxed

Lattice parameters (Å, degrees): 4.1336 4.1336 4.1336 60.00 60.00 60.00
Element x y z (fractional)
Pb  0.5000  0.5000  0.5000
H  0.2500  0.2500  0.2500
H  0.7500  0.7500  0.7500
V  0.0000  0.0000  0.0000

Results
ΔE to the lowest computed polymorph	0.626	eV per atom
theoretical density	8.65	g cm⁻³
crystal system	cubic